DFT (PBE-GGA) results for MnRe2Mo after structural relaxation.

```
MnRe2Mo
1.0
5.082 0.006 -0.035
2.265 4.549 0.035
-3.215 -3.017 2.528
Re Mn Mo
2 1 1
Direct
0.749 0.249 0.500
0.000 0.000 0.000
0.500 0.500 0.000
0.250 0.750 0.500
```

Energy relative to the lowest polymorph listed for this composition = 0.010 eV per atom
Energy of formation from the pure elements = 0.10 eV/atom
Total DFT energy (no corrections) = -44.503 eV for the cell shown